# 1
# Hf2TaZnN

An optimized crystal structure of Hf2TaZnN (GGA-PBE, the Alexandria database).

As for the uncorrected formation energy: -0.624 eV/atom. The calculation puts the density of states at the Fermi level at 2.17 states/eV/f.u. The calculation puts the uncorrected energy at -8.8954 eV per atom.

The structure belongs to space group P4/mmm (No. 123); the cell edges are 4.4760, 4.4760 and 4.1034 Å and the angles 90.00°, 90.00° and 90.00°. The inequivalent atoms are Hf at (0.0000, 0.5000, 0.0000), Ta at (0.0000, 0.0000, 0.5000), Zn at (0.5000, 0.5000, 0.5000) and N at (0.0000, 0.0000, 0.0000).

=====

# 2
# Hf3Zr2TaN6

An optimized crystal structure of Hf3Zr2TaN6 (GGA-PBE, the Alexandria database).

As for the uncorrected formation energy: -1.599 eV/atom. The calculation puts the density of states at the Fermi level at 2.50 states/eV/f.u. The calculation puts the uncorrected energy at -10.6627 eV per atom.

The structure belongs to space group C2/m (No. 12); the cell edges are 5.5527, 9.6150 and 5.5877 Å and the angles 90.00°, 109.50° and 90.00°. The inequivalent atoms are Hf at (0.0000, 0.0000, 0.0000), Hf at (0.0000, 0.3330, 0.0000), Zr at (0.0000, 0.1665, 0.5000), Ta at (0.0000, 0.5000, 0.5000), N at (0.2411, 0.5000, 0.2395) and N at (0.2500, 0.1641, 0.2419).